Material: Ac3PuIr
Method: DFT, PBE
State: relaxed

Properties
Final energy = -7.173 eV per atom
Formation enthalpy at 0 K = -0.069 eV per atom
N(E_F) = 20.86 states/eV/cell
Magnetic moment = 1.4259 μB per atom

Lattice parameters (Å, degrees): 5.896 5.896 5.896 90.00 90.00 90.00
Positions (direct):
1 Ac 0.000 0.000 0.500
2 Ac 0.000 0.500 0.000
3 Ac 0.500 0.000 0.000
4 Pu 0.500 0.500 0.500
5 Ir 0.000 0.000 0.000



Material: PrMg2I6
Method: DFT, PBE
State: relaxed

Properties
Final energy = -2.912 eV per atom
Formation energy without anion corrections = -0.9932 eV per atom
Magnetic moment = 0.1111 μB per atom

Lattice parameters (Å, degrees): 9.273 9.273 9.273 51.49 51.49 51.49
Positions (direct):
1 Pr 0.000 0.000 0.000
2 Mg 0.271 0.271 0.271
3 Mg 0.393 0.393 0.393
4 I 0.094 0.386 0.768
5 I 0.223 0.926 0.604
6 I 0.386 0.768 0.094
7 I 0.604 0.223 0.926
8 I 0.768 0.094 0.386
9 I 0.926 0.604 0.223